Record 1
# Zr2Te | OQMD via LeMat-Bulk | GGA-PBE | optimized geometry
# Uncorrected energy in eV/atom: -7.39
data_Zr2Te
_space_group_name_H-M_alt 'P n m a'
_space_group_IT_number 62
_cell_length_a 20.066
_cell_length_b 3.852
_cell_length_c 10.751
_cell_angle_alpha 90.00
_cell_angle_beta 90.00
_cell_angle_gamma 90.00
loop_
_space_group_symop_operation_xyz
'x,y,z'
'-x,-y,-z'
'-x+1/2,-y,z+1/2'
'x+1/2,y,-z+1/2'
'x+1/2,-y+1/2,-z+1/2'
'-x+1/2,y+1/2,z+1/2'
'-x,y+1/2,-z'
'x,-y+1/2,z'
loop_
_atom_site_label
_atom_site_type_symbol
_atom_site_fract_x
_atom_site_fract_y
_atom_site_fract_z
Zr1 Zr 0.015 0.250 0.109
Zr2 Zr 0.033 0.750 0.388
Zr3 Zr 0.104 0.250 0.854
Zr4 Zr 0.146 0.750 0.078
Zr5 Zr 0.159 0.250 0.542
Zr6 Zr 0.224 0.750 0.748
Te1 Te 0.073 0.750 0.662
Te2 Te 0.131 0.250 0.281
Te3 Te 0.240 0.250 0.962

Record 2
# Zr4Te3 | OQMD via LeMat-Bulk | GGA-PBE | optimized geometry
# Excess energy over the best structure of this formula in the dataset in meV per atom: 0
# Uncorrected energy in eV/atom: -6.92
data_Zr4Te3
_space_group_name_H-M_alt 'P 63/m'
_space_group_IT_number 176
_space_group_name_Hall '-P 6c'
_cell_length_a 8.5224
_cell_length_b 8.5224
_cell_length_c 5.5775
_cell_angle_alpha 90.00
_cell_angle_beta 90.00
_cell_angle_gamma 120.00
loop_
_atom_site_label
_atom_site_type_symbol
_atom_site_fract_x
_atom_site_fract_y
_atom_site_fract_z
Zr1 Zr 0.1054 0.4543 0.2500
Zr2 Zr 0.3333 0.6667 0.7500
Te1 Te 0.0546 0.3004 0.7500

Record 3
# Zr2Te | OQMD via LeMat-Bulk | GGA-PBE | optimized geometry
# Uncorrected energy in eV/atom: -7.09
data_Zr2Te
_space_group_name_H-M_alt 'P 1 21/m 1'
_space_group_IT_number 11
_cell_length_a 8.348
_cell_length_b 5.487
_cell_length_c 12.677
_cell_angle_alpha 90.00
_cell_angle_beta 100.89
_cell_angle_gamma 90.00
loop_
_space_group_symop_operation_xyz
'x,y,z'
'-x,-y,-z'
'-x,y+1/2,-z'
'x,-y+1/2,z'
loop_
_atom_site_label
_atom_site_type_symbol
_atom_site_fract_x
_atom_site_fract_y
_atom_site_fract_z
Zr1 Zr 0.006 0.250 0.312
Zr2 Zr 0.034 0.250 0.068
Zr3 Zr 0.078 0.250 0.572
Zr4 Zr 0.088 0.250 0.819
Zr5 Zr 0.252 0.750 0.336
Zr6 Zr 0.287 0.750 0.103
Zr7 Zr 0.390 0.250 0.990
Zr8 Zr 0.399 0.250 0.483
Te1 Te 0.264 0.750 0.562
Te2 Te 0.283 0.750 0.871
Te3 Te 0.326 0.250 0.238
Te4 Te 0.403 0.250 0.730

Record 4
# Zr2Te | OQMD via LeMat-Bulk | GGA-PBE | optimized geometry
# Uncorrected energy in eV/atom: -7.22
data_Zr2Te
_space_group_name_H-M_alt 'C m c m'
_space_group_IT_number 63
_space_group_name_Hall '-C 2c 2'
_cell_length_a 9.644
_cell_length_b 5.314
_cell_length_c 5.301
_cell_angle_alpha 90.00
_cell_angle_beta 90.00
_cell_angle_gamma 90.00
loop_
_atom_site_label
_atom_site_type_symbol
_atom_site_fract_x
_atom_site_fract_y
_atom_site_fract_z
Zr1 Zr 0.164 0.249 0.250
Te1 Te 0.000 0.251 0.750

Copy entry 2 word for word.
# Zr4Te3 | OQMD via LeMat-Bulk | GGA-PBE | optimized geometry
# Excess energy over the best structure of this formula in the dataset in meV per atom: 0
# Uncorrected energy in eV/atom: -6.92
data_Zr4Te3
_space_group_name_H-M_alt 'P 63/m'
_space_group_IT_number 176
_space_group_name_Hall '-P 6c'
_cell_length_a 8.5224
_cell_length_b 8.5224
_cell_length_c 5.5775
_cell_angle_alpha 90.00
_cell_angle_beta 90.00
_cell_angle_gamma 120.00
loop_
_atom_site_label
_atom_site_type_symbol
_atom_site_fract_x
_atom_site_fract_y
_atom_site_fract_z
Zr1 Zr 0.1054 0.4543 0.2500
Zr2 Zr 0.3333 0.6667 0.7500
Te1 Te 0.0546 0.3004 0.7500